Model A:
This record from Alexandria describes a relaxed AlTl2Pd crystal. The functional is PBE.

Lattice parameters (Å, degrees): 7.0463 7.0463 7.0463 90.00 90.00 90.00
With the nearest neighbours (Å) after each atom.
Space group Fm-3m (No. 225)
Inequivalent atoms, fractional coordinates:
Al  0.0000  0.0000  0.0000 (multiplicity 4)  8 Tl 3.05
Tl  0.2500  0.2500  0.2500 (multiplicity 8)  4 Al 3.05, 4 Pd 3.05
Pd  0.0000  0.0000  0.5000 (multiplicity 4)  8 Tl 3.05

## Properties
**M_tot**: 0.00 Bohr magnetons per cell
**Fermi-level density of states**: 10.31 states/eV per cell



Model B:
This record from Alexandria describes a relaxed AlTl2Pd crystal. The functional is PBE.

Lattice parameters (Å, degrees): 9.4568 9.4568 4.8730 90.00 90.00 90.00
With the nearest neighbours (Å) after each atom.
Space group I-42d (No. 122)
Inequivalent atoms, fractional coordinates:
Al  0.0000  0.0000  0.0000 (multiplicity 4)  2 Pd 2.44
Tl  0.1393  0.2500  0.6250 (multiplicity 8)  2 Pd 2.77
Pd  0.0000  0.0000  0.5000 (multiplicity 4)  2 Al 2.44

## Properties
**M_tot**: 0.00 Bohr magnetons per cell
**Fermi-level density of states**: 8.60 states/eV per cell



Name the most stable of them. model B.



Model A:
This record from Alexandria describes a relaxed Tm4AlPd crystal. The functional is PBE.

Lattice parameters (Å, degrees): 8.7395 13.3870 5.7179 90.00 113.14 90.00
With the nearest neighbours (Å) after each atom.
Space group C2/c (No. 15)
Inequivalent atoms, fractional coordinates:
Tm  0.1191  0.1816  0.0742 (multiplicity 8)  2 Pd 2.96-2.99, 2 Al 3.11-3.17, 1 Tm 3.29
Tm  0.2060  0.4265  0.3290 (multiplicity 8)  2 Pd 2.91-2.95, 2 Al 3.15-3.16
Al  0.0000  0.3745  0.7500 (multiplicity 4)  8 Tm 3.11-3.17
Pd  0.0000  0.0006  0.2500 (multiplicity 4)  2 Pd 2.86, 8 Tm 2.91-2.99

## Properties
**M_tot**: 0.00 Bohr magnetons per cell
**Fermi-level density of states**: 29.14 states/eV per cell



Model B:
This record from Alexandria describes a relaxed Tm4AlPd crystal. The functional is PBE.

Lattice parameters (Å, degrees): 13.3812 13.3812 13.3812 90.00 90.00 90.00
With the nearest neighbours (Å) after each atom.
Space group F-43m (No. 216)
Inequivalent atoms, fractional coordinates:
Tm  0.0000  0.0000  0.1845 (multiplicity 24)  2 Al 3.25, 2 Pd 3.45, 10 Tm 3.45-3.55
Tm  0.0584  0.2500  0.2500 (multiplicity 24)  2 Pd 2.82
Tm  0.1067  0.1067  0.6067 (multiplicity 16)  3 Pd 2.83
Al  0.1714  0.1714  0.8286 (multiplicity 16)  3 Al 2.97, 6 Tm 3.21-3.25
Pd  0.1046  0.1046  0.3954 (multiplicity 16)  6 Tm 2.82-2.83

## Properties
**M_tot**: 0.00 Bohr magnetons per cell
**Fermi-level density of states**: 83.66 states/eV per cell



Name the most stable of them. model B.



Model A:
This record from Alexandria describes a relaxed Tm6Al2Pd crystal. The functional is PBE.

Lattice parameters (Å, degrees): 9.5955 9.6250 9.9065 90.00 90.00 90.00
With the nearest neighbours (Å) after each atom.
Space group Immm (No. 71)
Inequivalent atoms, fractional coordinates:
Tm  0.0000  0.1714  0.2192 (multiplicity 8)  3 Al 2.88-3.03
Tm  0.1730  0.5000  0.2429 (multiplicity 8)  1 Pd 3.04, 3 Al 3.13-3.19, 1 Tm 3.32
Tm  0.1892  0.2381  0.5000 (multiplicity 8)  2 Pd 2.92-3.11, 2 Al 3.02-3.15
Al  0.0000  0.3673  0.0000 (multiplicity 4)  1 Al 2.56
Al  0.1372  0.0000  0.0000 (multiplicity 4)  1 Al 2.63
Pd  0.0000  0.0000  0.5000 (multiplicity 2)  8 Tm 2.92-3.23
Pd  0.0000  0.5000  0.5000 (multiplicity 2)  8 Tm 3.04-3.11

## Properties
**M_tot**: 0.00 Bohr magnetons per cell
**Fermi-level density of states**: 27.11 states/eV per cell



Model B:
This record from Alexandria describes a relaxed Tm6Al2Pd crystal. The functional is PBE.

Lattice parameters (Å, degrees): 4.8876 7.0416 14.7342 90.00 90.00 90.00
With the nearest neighbours (Å) after each atom.
Space group Immm (No. 71)
Inequivalent atoms, fractional coordinates:
Tm  0.0000  0.2393  0.0000 (multiplicity 4)  2 Pd 2.97, 2 Al 3.07
Tm  0.0000  0.2566  0.3380 (multiplicity 8)  1 Pd 2.94, 3 Al 3.04-3.05
Al  0.0000  0.5000  0.1667 (multiplicity 4)  8 Tm 3.04-3.07
Pd  0.0000  0.5000  0.5000 (multiplicity 2)  8 Tm 2.94-2.97

## Properties
**M_tot**: 0.00 Bohr magnetons per cell
**Fermi-level density of states**: 13.08 states/eV per cell



Name the most stable of them. model A.



Model A:
This record from Alexandria describes a relaxed TmAlPd6 crystal. The functional is PBE.

Lattice parameters (Å, degrees): 4.0299 4.0299 7.9062 90.00 90.00 90.00
With the nearest neighbours (Å) after each atom.
Space group P4/mmm (No. 123)
Inequivalent atoms, fractional coordinates:
Tm  0.0000  0.0000  0.0000 (multiplicity 1)  12 Pd 2.85-2.91
Al  0.0000  0.0000  0.5000 (multiplicity 1)  12 Pd 2.74-2.85
Pd  0.0000  0.5000  0.2659 (multiplicity 4)  2 Al 2.74, 8 Pd 2.74-2.91, 2 Tm 2.91
Pd  0.5000  0.5000  0.0000 (multiplicity 1)  4 Tm 2.85, 8 Pd 2.91
Pd  0.5000  0.5000  0.5000 (multiplicity 1)  8 Pd 2.74, 4 Al 2.85

## Properties
**M_tot**: 0.00 Bohr magnetons per cell
**Fermi-level density of states**: 8.04 states/eV per cell



Model B:
This record from Alexandria describes a relaxed TmAlPd6 crystal. The functional is PBE.

Lattice parameters (Å, degrees): 8.0090 5.4009 7.3317 90.00 112.07 90.00
With the nearest neighbours (Å) after each atom.
Space group C2/m (No. 12)
Inequivalent atoms, fractional coordinates:
Tm  0.0000  0.0000  0.0000 (multiplicity 2)  10 Pd 2.79-3.02
Al  0.0000  0.5000  0.5000 (multiplicity 2)  6 Pd 2.50-2.62
Pd  0.1576  0.0000  0.4445 (multiplicity 4)  1 Al 2.62, 5 Pd 2.79-2.93
Pd  0.1839  0.2437  0.7898 (multiplicity 8)  1 Al 2.50, 3 Pd 2.63-2.79, 1 Tm 2.79

## Properties
**M_tot**: 0.00 Bohr magnetons per cell
**Fermi-level density of states**: 7.06 states/eV per cell



Name the most stable of them. model A.